1.
## AgHgMo2 (GGA-PBE)

Data for a relaxed structure of AgHgMo2.

Unit cell a=4.993 b=4.993 c=4.993 alpha=131.29 beta=131.29 gamma=71.34
Element x y z (fractional)
Ag 0.500 0.500 0.000
Hg 0.750 0.250 0.500
Mo 0.000 0.000 0.000
Mo 0.250 0.750 0.500

**Total magnetization**: 0.0 Bohr magnetons per cell
**Total energy**: -5.6005 eV/atom
**DOS(E_F)**: 2.68 states/eV/cell
**SG**: I-4m2, No. 119


2.
## PuCuPtPb (GGA-PBE)

Data for a relaxed structure of PuCuPtPb.

Unit cell a=4.897 b=4.897 c=4.897 alpha=60.00 beta=60.00 gamma=60.00
Element x y z (fractional)
Pb 0.500 0.500 0.500
Cu 0.750 0.750 0.750
Pt 0.250 0.250 0.250
Pu 0.000 0.000 0.000

**Total magnetization**: 5.2 Bohr magnetons per cell
**Total energy**: -7.2609 eV/atom
**DOS(E_F)**: 12.94 states/eV/cell
**SG**: F-43m, No. 216


3.
## TlCu2HgTe (GGA-PBE)

Data for a relaxed structure of TlCu2HgTe.

Unit cell a=4.910 b=6.233 c=4.910 alpha=90.00 beta=90.00 gamma=90.00
Element x y z (fractional)
Tl 0.000 0.000 0.000
Te 0.000 0.500 0.000
Hg 0.500 0.500 0.500
Cu 0.000 0.000 0.500
Cu 0.500 0.000 0.000

**Total magnetization**: 0.0 Bohr magnetons per cell
**DOS(E_F)**: 2.98 states/eV/cell
**SG**: P4/mmm, No. 123
**E_form (uncorrected)**: 739 meV per atom


4.
## Li6SbAu12 (GGA-PBE)

Data for a relaxed structure of Li6SbAu12.

Unit cell a=7.502 b=7.502 c=7.502 alpha=106.99 beta=106.99 gamma=106.99
Element x y z (fractional)
Li 0.797 0.915 0.533
Li 0.467 0.203 0.085
Li 0.085 0.467 0.203
Li 0.203 0.085 0.467
Li 0.533 0.797 0.915
Li 0.915 0.533 0.797
Sb 0.000 0.000 0.000
Au 0.807 0.513 0.401
Au 0.401 0.807 0.513
Au 0.513 0.401 0.807
Au 0.193 0.487 0.599
Au 0.599 0.193 0.487
Au 0.487 0.599 0.193
Au 0.870 0.725 0.165
Au 0.275 0.835 0.130
Au 0.835 0.130 0.275
Au 0.130 0.275 0.835
Au 0.725 0.165 0.870
Au 0.165 0.870 0.725

**Total magnetization**: 0.0 Bohr magnetons per cell
**DOS(E_F)**: 5.11 states/eV/cell
**SG**: R-3, No. 148
**E_form (uncorrected)**: -327 meV per atom


5.
## Pm3Zn2In3 (GGA-PBE)

Data for a relaxed structure of Pm3Zn2In3.

Unit cell a=4.684 b=6.071 c=15.610 alpha=90.00 beta=90.00 gamma=112.69
Element x y z (fractional)
Pm 0.912 0.824 0.390
Pm 0.088 0.176 0.890
Pm 0.912 0.824 0.110
Pm 0.088 0.176 0.610
Pm 0.642 0.284 0.250
Pm 0.358 0.716 0.750
Zn 0.792 0.585 0.896
Zn 0.208 0.415 0.396
Zn 0.792 0.585 0.604
Zn 0.208 0.415 0.104
In 0.620 0.241 0.461
In 0.380 0.759 0.961
In 0.620 0.241 0.039
In 0.380 0.759 0.539
In 0.350 0.701 0.250
In 0.650 0.299 0.750

**Total magnetization**: 0.4 Bohr magnetons per cell
**Total energy**: -3.5666 eV/atom
**DOS(E_F)**: 10.74 states/eV/cell
**SG**: Cmcm, No. 63


6.
## Cr2MoPd (GGA-PBE)

Data for a relaxed structure of Cr2MoPd.

Unit cell a=5.442 b=5.442 c=6.611 alpha=65.70 beta=65.70 gamma=90.00
Element x y z (fractional)
Cr 0.624 0.125 0.250
Cr 0.126 0.625 0.250
Cr 0.375 0.376 0.750
Cr 0.875 0.874 0.750
Mo 0.500 0.500 0.000
Mo 0.250 0.750 0.500
Pd 0.000 0.000 0.000
Pd 0.750 0.250 0.500

**Total magnetization**: 0.0 Bohr magnetons per cell
**Total energy**: -7.1212 eV/atom
**DOS(E_F)**: 8.91 states/eV/cell
**SG**: I-42d, No. 122


7.
## CaP2Rh (GGA-PBE)

Data for a relaxed structure of CaP2Rh.

Unit cell a=3.345 b=3.345 c=6.281 alpha=90.00 beta=90.00 gamma=90.00
Element x y z (fractional)
Ca 0.500 0.500 0.774
P 0.000 0.000 0.034
P 0.500 0.500 0.284
Rh 0.000 0.000 0.408

**Distance to the lowest polymorph of the same formula**: 498.6 meV per atom
**Total magnetization**: 0.0 Bohr magnetons per cell
**DOS(E_F)**: 3.78 states/eV/cell
**SG**: P4mm, No. 99


8.
## Dy2YI (GGA-PBE)

Data for a relaxed structure of Dy2YI.

Unit cell a=3.636 b=3.636 c=9.521 alpha=90.00 beta=90.00 gamma=90.00
Element x y z (fractional)
I 0.500 0.500 0.000
Y 0.500 0.500 0.500
Dy 0.000 0.000 0.757
Dy 0.000 0.000 0.243

**Distance to the lowest polymorph of the same formula**: 65.7 meV per atom
**Total magnetization**: 0.0 Bohr magnetons per cell
**DOS(E_F)**: 4.60 states/eV/cell
**SG**: P4/mmm, No. 123
**E_form (uncorrected)**: -282 meV per atom